NaTlIn2Pb: optimized geometry, GGA-PBE.

Cell and atoms, written as extended XYZ:
```
10
Lattice="3.175 -7.887 0.000 3.175 7.887 0.000 0.000 0.000 6.266" Properties=species:S:1:pos:R:3 pbc="T T T"
Na 3.175 3.958 4.699
Na 3.175 -3.958 1.566
Tl 3.175 2.342 1.566
Tl 3.175 -2.342 4.699
In 1.613 0.000 0.000
In 1.613 0.000 3.133
In 4.736 0.000 0.000
In 4.736 0.000 3.133
Pb 3.175 5.647 1.566
Pb 3.175 -5.647 4.699
```

Computed properties:
**Energy of formation from the pure elements**: -0.009 eV/atom
**Theoretical density**: 7.03 g cm⁻³
**Space-group type**: Cmcm, No. 63